Record 1
A relaxed AcMgAg2Au4 crystal. Source: Alexandria, functional PBE-GGA.

Unit cell a=9.2902 b=9.2902 c=9.2902 alpha=29.61 beta=29.61 gamma=29.61
Last column: nearest neighbours and their distance in Å.
Sites, in units of the cell vectors:
Ac (0.0000, 0.0000, 0.0000)  8 Au 3.22-3.44
Mg (0.5000, 0.5000, 0.5000)  8 Au 2.75-2.92
Ag (0.2389, 0.2389, 0.2389)  7 Au 2.86-2.92
Ag (0.7611, 0.7611, 0.7611)  7 Au 2.86-2.92
Au (0.1291, 0.1291, 0.1291)  4 Ag 2.89-2.92, 3 Mg 2.92
Au (0.3968, 0.3968, 0.3968)  1 Mg 2.75, 3 Ag 2.86
Au (0.6032, 0.6032, 0.6032)  1 Mg 2.75, 3 Ag 2.86
Au (0.8709, 0.8709, 0.8709)  4 Ag 2.89-2.92, 3 Mg 2.92

Summary:
Symmetry   R-3m
ΔE_f   -433 meV/atom
Total magnetization   0.0 μB per formula unit

Record 2
A relaxed Hf3NiBr crystal. Source: Alexandria, functional PBE-GGA.

Unit cell a=4.8852 b=4.8852 c=4.8852 alpha=90.00 beta=90.00 gamma=90.00
Last column: nearest neighbours and their distance in Å.
Sites, in units of the cell vectors:
Hf (0.0000, 0.0000, 0.5000)  2 Ni 2.44
Hf (0.0000, 0.5000, 0.0000)  2 Ni 2.44
Hf (0.5000, 0.0000, 0.0000)  2 Ni 2.44
Ni (0.0000, 0.0000, 0.0000)  6 Hf 2.44
Br (0.5000, 0.5000, 0.5000)  12 Hf 3.45

Summary:
Symmetry   Pm-3m
E_form (uncorrected)   1.79 eV/f.u.
ΔE to the lowest computed polymorph   0.000 eV/atom
Total magnetization   0.0 μB per formula unit

Record 3
A relaxed Zr4AsN crystal. Source: Alexandria, functional PBE-GGA.

Unit cell a=7.1928 b=5.4842 c=6.8383 alpha=90.00 beta=117.52 gamma=90.00
Last column: nearest neighbours and their distance in Å.
Sites, in units of the cell vectors:
Zr (0.1373, 0.2370, 0.3052)  2 N 2.35-2.38
Zr (0.1373, 0.2630, 0.8052)  2 N 2.35-2.38
Zr (0.2773, 0.7382, 0.1364)  1 N 2.20
Zr (0.2773, 0.7618, 0.6364)  1 N 2.20
Zr (0.7227, 0.2382, 0.3636)  1 N 2.20
Zr (0.7227, 0.2618, 0.8636)  1 N 2.20
Zr (0.8627, 0.7370, 0.1948)  2 N 2.35-2.38
Zr (0.8627, 0.7630, 0.6948)  2 N 2.35-2.38
As (0.5000, 0.0000, 0.0000)  6 Zr 2.60-2.73
As (0.5000, 0.5000, 0.5000)  6 Zr 2.60-2.73
N (0.0000, 0.0000, 0.5000)  6 Zr 2.20-2.38
N (0.0000, 0.5000, 0.0000)  6 Zr 2.20-2.38

Summary:
Symmetry   P2_1/c
E_form (uncorrected)   -5.12 eV/f.u.
Total magnetization   0.0 μB per formula unit

Record 4
A relaxed TiCoNiPt crystal. Source: Alexandria, functional PBE-GGA.

Unit cell a=3.6807 b=3.6949 c=3.8101 alpha=90.00 beta=90.00 gamma=90.00
Last column: nearest neighbours and their distance in Å.
Sites, in units of the cell vectors:
Ti (0.0000, 0.0000, 0.0000)  4 Co 2.61, 4 Ni 2.65, 4 Pt 2.65
Co (0.5000, 0.5000, 0.0000)  4 Ti 2.61, 4 Pt 2.65, 4 Ni 2.65
Ni (0.5000, 0.0000, 0.5000)  4 Pt 2.61, 4 Ti 2.65, 4 Co 2.65
Pt (0.0000, 0.5000, 0.5000)  4 Ni 2.61, 4 Co 2.65, 4 Ti 2.65

Summary:
Symmetry   Pmmm
ΔE_f   -586 meV/atom
ΔE to the lowest computed polymorph   0.000 eV/atom
Total magnetization   0.7 μB per formula unit

Record 5
A relaxed Ac4AsPt2S crystal. Source: Alexandria, functional PBE-GGA.

Unit cell a=7.5242 b=4.3560 c=7.9688 alpha=90.00 beta=108.29 gamma=90.00
Last column: nearest neighbours and their distance in Å.
Sites, in units of the cell vectors:
Ac (0.2470, 0.0000, 0.2390)  3 Pt 3.09-3.10, 1 S 3.19, 2 As 3.20
Ac (0.2532, 0.5000, 0.7593)  3 Pt 3.10, 1 As 3.18, 2 S 3.19
Ac (0.7468, 0.5000, 0.2407)  3 Pt 3.10, 1 As 3.18, 2 S 3.19
Ac (0.7530, 0.0000, 0.7610)  3 Pt 3.09-3.10, 1 S 3.19, 2 As 3.20
As (0.5000, 0.5000, 0.5000)  6 Ac 3.18-3.20
Pt (0.0000, 0.5000, 0.0000)  6 Ac 3.10
Pt (0.5000, 0.0000, 0.0000)  6 Ac 3.09-3.10
S (0.0000, 0.0000, 0.5000)  6 Ac 3.19

Summary:
Symmetry   P2/m
E_form (uncorrected)   -11.12 eV/f.u.
Total magnetization   0.0 μB per formula unit

Record 6
A relaxed Sr2AcBiO6 crystal. Source: Alexandria, functional PBE-GGA.

Unit cell a=6.0941 b=6.3293 c=10.6604 alpha=90.00 beta=124.54 gamma=90.00
Last column: nearest neighbours and their distance in Å.
Sites, in units of the cell vectors:
Sr (0.2387, 0.0487, 0.2538)  5 O 2.53-2.83
Sr (0.2387, 0.4513, 0.7538)  5 O 2.53-2.83
Sr (0.7613, 0.5487, 0.2462)  5 O 2.53-2.83
Sr (0.7613, 0.9513, 0.7462)  5 O 2.53-2.83
Ac (0.5000, 0.0000, 0.0000)  6 O 2.43-2.50
Ac (0.5000, 0.5000, 0.5000)  6 O 2.43-2.50
Bi (0.0000, 0.0000, 0.5000)  6 O 2.15-2.17
Bi (0.0000, 0.5000, 0.0000)  6 O 2.15-2.17
O (0.1085, 0.2192, 0.9302)  1 Bi 2.17
O (0.1085, 0.2808, 0.4302)  1 Bi 2.17
O (0.2321, 0.6842, 0.9462)  1 Bi 2.15
O (0.2321, 0.8158, 0.4462)  1 Bi 2.15
O (0.3456, 0.0573, 0.7298)  1 Bi 2.17
O (0.3456, 0.4427, 0.2298)  1 Bi 2.17
O (0.6544, 0.5573, 0.7702)  1 Bi 2.17
O (0.6544, 0.9427, 0.2702)  1 Bi 2.17
O (0.7679, 0.1842, 0.5538)  1 Bi 2.15
O (0.7679, 0.3157, 0.0538)  1 Bi 2.15
O (0.8915, 0.7192, 0.5698)  1 Bi 2.17
O (0.8915, 0.7808, 0.0698)  1 Bi 2.17

Summary:
Symmetry   P2_1/c
E_form (uncorrected)   -23.48 eV/f.u.
Total magnetization   0.0 μB per formula unit

Record 7
A relaxed Pm6Ho3Er2Tl crystal. Source: Alexandria, functional PBE-GGA.

Unit cell a=6.1846 b=6.1846 c=11.7386 alpha=95.09 beta=95.09 gamma=120.13
Last column: nearest neighbours and their distance in Å.
Sites, in units of the cell vectors:
Pm (0.0820, 0.4110, 0.7479)  1 Tl 3.51, 6 Pm 3.52-3.60, 2 Er 3.54, 3 Ho 3.56-3.58
Pm (0.2464, 0.2464, 0.2504)  6 Pm 3.52-3.60, 1 Tl 3.53, 2 Er 3.55, 3 Ho 3.55-3.57
Pm (0.4110, 0.0820, 0.7479)  1 Tl 3.51, 6 Pm 3.52-3.60, 2 Er 3.54, 3 Ho 3.56-3.58
Pm (0.5890, 0.9180, 0.2521)  1 Tl 3.51, 6 Pm 3.52-3.60, 2 Er 3.54, 3 Ho 3.56-3.58
Pm (0.7536, 0.7536, 0.7496)  6 Pm 3.52-3.60, 1 Tl 3.53, 2 Er 3.55, 3 Ho 3.55-3.57
Pm (0.9180, 0.5890, 0.2521)  1 Tl 3.51, 6 Pm 3.52-3.60, 2 Er 3.54, 3 Ho 3.56-3.58
Ho (0.1676, 0.8324, 0.0000)  6 Pm 3.55-3.58, 6 Ho 3.56-3.59
Ho (0.5000, 0.5000, 0.0000)  6 Pm 3.56-3.57, 6 Ho 3.56-3.57
Ho (0.8324, 0.1676, 0.0000)  6 Pm 3.55-3.58, 6 Ho 3.56-3.59
Er (0.3340, 0.6660, 0.5000)  6 Pm 3.54-3.55, 3 Er 3.56-3.57, 3 Tl 3.56-3.58
Er (0.6660, 0.3340, 0.5000)  6 Pm 3.54-3.55, 3 Er 3.56-3.57, 3 Tl 3.56-3.58
Tl (0.0000, 0.0000, 0.5000)  6 Pm 3.51-3.53, 6 Er 3.56-3.58

Summary:
Symmetry   C2/m
ΔE_f   -8 meV/atom
Total magnetization   0.0 μB per formula unit

Record 8
A relaxed CsK2AlCd crystal. Source: Alexandria, functional PBE-GGA.

Unit cell a=6.9342 b=6.9342 c=5.2374 alpha=90.00 beta=90.00 gamma=90.00
Last column: nearest neighbours and their distance in Å.
Sites, in units of the cell vectors:
Cs (0.0000, 0.0000, 0.0000)  8 K 4.34
K (0.0000, 0.5000, 0.5000)  2 Al 3.47
K (0.5000, 0.0000, 0.5000)  2 Al 3.47
Al (0.5000, 0.5000, 0.5000)  2 Cd 2.62
Cd (0.5000, 0.5000, 0.0000)  2 Al 2.62

Summary:
Symmetry   P4/mmm
ΔE_f   161 meV/atom
ΔE to the lowest computed polymorph   0.000 eV/atom
Total magnetization   0.0 μB per formula unit

Number 1: uncorrected energy -3.497 eV/atom. Number 2: uncorrected energy -7.105 eV/atom. Number 3: uncorrected energy -8.714 eV/atom. Number 4: uncorrected energy -7.292 eV/atom. Number 5: uncorrected energy -6.051 eV/atom. Number 6: uncorrected energy -6.458 eV/atom. Number 7: uncorrected energy -4.486 eV/atom. Number 8: uncorrected energy -1.380 eV/atom.